i:
DyHoTmZn | PBE-GGA | relaxed

Cell: 3.535 3.535 8.556 Å, 90.00 90.00 90.00°
Atoms (fractional coordinates):
Tm (0.500, 0.500, 0.366)
Ho (0.500, 0.500, 0.778)
Dy (0.000, 0.000, 0.073)
Zn (0.000, 0.000, 0.568)

Values from the calculation:
SG	P4mm

---

ii:
DyHoTmZn | PBE-GGA | relaxed

Cell: 5.291 5.291 5.291 Å, 60.00 60.00 60.00°
Atoms (fractional coordinates):
Tm (0.500, 0.500, 0.500)
Zn (0.000, 0.000, 0.000)
Ho (0.750, 0.750, 0.750)
Dy (0.250, 0.250, 0.250)

Values from the calculation:
SG	F-43m

---

List of relative energies, unit kJ/mol of atoms: i 0.0; ii 19.2

---

i:
Dy3Y3Ho2 | PBE-GGA | relaxed

Cell: 6.442 6.442 6.442 Å, 93.76 93.76 86.24°
Atoms (fractional coordinates):
Y (0.265, 0.735, 0.500)
Y (0.500, 0.265, 0.265)
Ho (0.250, 0.250, 0.750)
Y (0.735, 0.500, 0.735)
Dy (0.000, 0.234, 0.234)
Ho (0.750, 0.750, 0.250)
Dy (0.766, 0.000, 0.766)
Dy (0.234, 0.766, 0.000)

Values from the calculation:
SG	R32

---

ii:
Dy3Y3Ho2 | PBE-GGA | relaxed

Cell: 5.694 5.997 8.599 Å, 111.10 109.33 90.00°
Atoms (fractional coordinates):
Dy (0.500, 0.500, 0.000)
Y (0.000, 0.000, 0.000)
Ho (0.749, 0.682, 0.499)
Y (0.868, 0.312, 0.735)
Dy (0.632, 0.075, 0.264)
Ho (0.251, 0.318, 0.501)
Y (0.132, 0.688, 0.265)
Dy (0.368, 0.925, 0.736)

Values from the calculation:
SG	C2/m

---

List of relative energies, unit kJ/mol of atoms: i 13.6; ii 0.0

---

i:
DyY4Ho5 | PBE-GGA | relaxed

Cell: 3.553 6.773 14.333 Å, 93.46 104.26 105.53°
Atoms (fractional coordinates):
Ho (0.932, 0.581, 0.386)
Ho (0.227, 0.125, 0.416)
Ho (0.068, 0.419, 0.614)
Y (0.363, 0.827, 0.213)
Y (0.637, 0.173, 0.787)
Y (0.115, 0.296, 0.193)
Ho (0.773, 0.875, 0.584)
Dy (0.500, 0.000, 0.000)
Ho (0.500, 0.500, 0.000)
Y (0.885, 0.704, 0.807)

Values from the calculation:
SG	P-1

---

ii:
DyY4Ho5 | PBE-GGA | relaxed

Cell: 5.884 8.021 8.021 Å, 82.27 68.48 68.48°
Atoms (fractional coordinates):
Ho (0.686, 0.000, 0.000)
Ho (0.763, 0.000, 0.377)
Ho (0.763, 0.377, 0.000)
Ho (0.139, 0.623, 0.000)
Dy (0.215, 0.000, 0.000)
Ho (0.139, 0.000, 0.623)
Y (0.451, 0.678, 0.322)
Y (0.451, 0.322, 0.678)
Y (0.130, 0.322, 0.322)
Y (0.773, 0.678, 0.678)

Values from the calculation:
SG	I4mm

---

List of relative energies, unit kJ/mol of atoms: i 0.0; ii 18.6